Mo3BrO: relaxed, PBE+U.

Values from the calculation:
ΔE to the lowest computed polymorph = 0.00 eV/f.u.
ρ = 7.9 Mg/m³
N(E_F) = 2.31 states/eV/cell
Symmetry = Pm-3m
E_tot = -4.446 eV/atom

Cell: 4.3126 4.3126 4.3126 Å, 90.00 90.00 90.00°
With the nearest neighbours (Å) after each atom.
Fractional coordinates of all 5 atoms:
Mo 0.5000 0.0000 0.0000  2 O 2.16
Br 0.5000 0.5000 0.5000  12 Mo 3.05
O 0.0000 0.0000 0.0000  6 Mo 2.16
Mo 0.0000 0.5000 0.0000  2 O 2.16
Mo 0.0000 0.0000 0.5000  2 O 2.16